Below is a geometry-optimized Sc4FeHg structure, with properties calculated at the PBE level.

Lattice parameters (Å, degrees): 8.1377 11.7340 5.6276 90.00 106.45 90.00
With the nearest neighbours (Å) after each atom.
Space group C2/c (No. 15)
Unique sites:
Sc 0.1049 0.1642 0.0462 [8 per cell]  2 Fe 2.50-2.55
Sc 0.2214 0.4209 0.3910 [8 per cell]  2 Fe 2.73-2.77, 1 Hg 3.01
Fe 0.0000 0.0015 0.2500 [4 per cell]  8 Sc 2.50-2.77
Hg 0.0000 0.3704 0.7500 [4 per cell]  8 Sc 2.92-3.12

Summary:
Raw total energy ... -5.929 eV per atom
Energy of formation ... -0.25 eV/atom
Offset from the most stable computed form ... 0 meV per atom
Total moment ... 0.00 μB/f.u.


Below is a geometry-optimized Sc3FeHg structure, with properties calculated at the PBE level.

Lattice parameters (Å, degrees): 4.8138 4.8138 4.8138 90.00 90.00 90.00
With the nearest neighbours (Å) after each atom.
Space group Pm-3m (No. 221)
Unique sites:
Sc 0.0000 0.0000 0.5000 [3 per cell]  2 Fe 2.41
Fe 0.0000 0.0000 0.0000 [1 per cell]  6 Sc 2.41
Hg 0.5000 0.5000 0.5000 [1 per cell]  12 Sc 3.40

Summary:
Raw total energy ... -5.607 eV per atom
Energy of formation ... -0.05 eV/atom
Offset from the most stable computed form ... 0 meV per atom
Total moment ... 0.00 μB/f.u.


Below is a geometry-optimized ScFeHg4 structure, with properties calculated at the PBE level.

Lattice parameters (Å, degrees): 8.0828 8.0828 8.0828 90.00 90.00 90.00
With the nearest neighbours (Å) after each atom.
Space group F-43m (No. 216)
Unique sites:
Sc 0.0000 0.0000 0.0000 [4 per cell]  12 Hg 3.35, 4 Fe 3.50
Fe 0.2500 0.2500 0.7500 [4 per cell]  12 Hg 3.35, 4 Sc 3.50
Hg 0.1248 0.1248 0.3752 [16 per cell]  6 Hg 2.85-2.86

Summary:
Raw total energy ... -2.280 eV per atom
Energy of formation ... 0.39 eV/atom
Total moment ... 1.75 μB/f.u.


Below is a geometry-optimized ScFe2Hg structure, with properties calculated at the PBE level.

Lattice parameters (Å, degrees): 6.4002 6.4002 6.4002 90.00 90.00 90.00
With the nearest neighbours (Å) after each atom.
Space group F-43m (No. 216)
Unique sites:
Sc 0.0000 0.0000 0.0000 [4 per cell]  4 Fe 2.77, 4 Hg 2.77
Fe 0.0000 0.0000 0.5000 [4 per cell]  4 Hg 2.77, 4 Fe 2.77
Fe 0.2500 0.2500 0.2500 [4 per cell]  4 Fe 2.77, 4 Sc 2.77
Hg 0.2500 0.2500 0.7500 [4 per cell]  4 Fe 2.77, 4 Sc 2.77

Summary:
Raw total energy ... -5.757 eV per atom
Energy of formation ... 0.13 eV/atom
Total moment ... 4.54 μB/f.u.


Below is a geometry-optimized Sc8Fe2Hg structure, with properties calculated at the PBE level.

Lattice parameters (Å, degrees): 4.8820 14.5197 6.3379 90.00 90.00 90.00
With the nearest neighbours (Å) after each atom.
Space group Imm2 (No. 44)
Unique sites:
Sc 0.0000 0.0000 0.0000 [2 per cell]  2 Fe 2.71, 2 Sc 2.98
Sc 0.0000 0.1131 0.4560 [4 per cell]  1 Fe 2.43
Sc 0.0000 0.2889 0.1209 [4 per cell]  3 Fe 2.60-2.81
Sc 0.0000 0.3321 0.5857 [4 per cell]  1 Hg 2.78, 3 Fe 2.79-2.98, 3 Sc 3.01-3.02
Sc 0.0000 0.5000 0.2312 [2 per cell]  1 Hg 2.75, 2 Sc 2.98
Fe 0.0000 0.1690 0.8171 [4 per cell]  3 Sc 2.43-2.71
Hg 0.0000 0.5000 0.7977 [2 per cell]  3 Sc 2.75-2.78

Summary:
Raw total energy ... -6.320 eV per atom
Energy of formation ... -0.15 eV/atom
Total moment ... 0.00 μB/f.u.


Below is a geometry-optimized Sc6FeHg2 structure, with properties calculated at the PBE level.

Lattice parameters (Å, degrees): 7.9590 7.9590 3.5457 90.00 90.00 120.00
With the nearest neighbours (Å) after each atom.
Space group P-62m (No. 189)
Unique sites:
Sc 0.0000 0.3916 0.0000 [3 per cell]  4 Hg 3.03, 1 Fe 3.12, 4 Sc 3.25
Sc 0.0000 0.7627 0.5000 [3 per cell]  2 Fe 2.59
Fe 0.0000 0.0000 0.0000 [1 per cell]  6 Sc 2.59
Hg 0.3333 0.6667 0.5000 [2 per cell]  9 Sc 3.03-3.11

Summary:
Raw total energy ... -5.477 eV per atom
Energy of formation ... -0.25 eV/atom
Total moment ... 0.55 μB/f.u.